Material: LaPr3Y2Te6
Method: DFT, GGA-PBE
State: relaxed

Properties
space-group type	No. 12
E_form (uncorrected)	-1.424	eV/atom

Lattice parameters (Å, degrees): 4.4548 9.0416 10.0421 103.41 102.82 90.00
With the nearest neighbours (Å) after each atom.
Element x y z (fractional)
La (0.5000, 0.0000, 0.0000)  6 Te 3.18-3.23
Pr (0.5000, 0.5000, 0.0000)  6 Te 3.17-3.24
Pr (0.8380, 0.1702, 0.6759)  6 Te 3.19-3.24
Pr (0.1620, 0.8298, 0.3241)  6 Te 3.19-3.24
Y (0.8337, 0.6690, 0.6675)  6 Te 3.06-3.12
Y (0.1663, 0.3310, 0.3325)  6 Te 3.06-3.12
Te (0.3303, 0.9073, 0.6606)  2 Y 3.11, 3 Pr 3.20-3.24, 1 La 3.23
Te (0.6702, 0.5744, 0.3404)  3 Y 3.11-3.12, 3 Pr 3.24
Te (0.6697, 0.0927, 0.3394)  2 Y 3.11, 3 Pr 3.20-3.24, 1 La 3.23
Te (0.0054, 0.2542, 0.0109)  1 Y 3.06, 3 Pr 3.17-3.19, 2 La 3.18
Te (0.9946, 0.7458, 0.9891)  1 Y 3.06, 3 Pr 3.17-3.19, 2 La 3.18
Te (0.3298, 0.4256, 0.6596)  3 Y 3.11-3.12, 3 Pr 3.24


Material: Ac2CuGe2
Method: DFT, GGA-PBE
State: relaxed

Properties
formation energy	-626	meV/atom
space-group type	No. 12

Lattice parameters (Å, degrees): 4.3461 6.2325 10.9195 77.55 78.52 69.59
With the nearest neighbours (Å) after each atom.
Element x y z (fractional)
Ac (0.6963, 0.2471, 0.3602)  7 Ge 3.28-3.41, 4 Cu 3.35-3.39
Ac (0.9115, 0.2742, 0.9028)  6 Ge 3.24-3.45, 2 Cu 3.34, 1 Ac 3.53
Ac (0.3037, 0.7529, 0.6398)  7 Ge 3.28-3.41, 4 Cu 3.35-3.39
Ac (0.0885, 0.7258, 0.0972)  6 Ge 3.24-3.45, 2 Cu 3.34, 1 Ac 3.53
Cu (0.5734, 0.1717, 0.6814)  3 Ge 2.49-2.50
Cu (0.4266, 0.8283, 0.3186)  3 Ge 2.49-2.50
Ge (0.0412, 0.3262, 0.5915)  2 Cu 2.49, 1 Ge 2.59
Ge (0.6533, 0.8357, 0.8578)  1 Cu 2.50
Ge (0.9588, 0.6738, 0.4085)  2 Cu 2.49, 1 Ge 2.59
Ge (0.3467, 0.1643, 0.1422)  1 Cu 2.50


Material: CaAcTe
Method: DFT, GGA-PBE
State: relaxed

Properties
space-group type	No. 156
E_form (uncorrected)	-0.651	eV/atom

Lattice parameters (Å, degrees): 4.3837 5.3605 5.3605 120.00 90.00 90.00
With the nearest neighbours (Å) after each atom.
Element x y z (fractional)
Ac (0.9992, 0.0000, 0.0000)  6 Te 3.79-3.80, 6 Ca 3.79
Te (0.5017, 0.3333, 0.6667)  3 Ca 3.09
Ca (0.4991, 0.6667, 0.3333)  3 Te 3.09


Material: InPb2
Method: DFT, GGA-PBE
State: relaxed

Properties
formation energy	7	meV/atom
space-group type	No. 62

Lattice parameters (Å, degrees): 4.8190 7.0651 10.6511 90.00 90.00 90.00
With the nearest neighbours (Å) after each atom.
Element x y z (fractional)
In (0.2500, 0.6198, 0.4174)  2 In 3.43, 10 Pb 3.44-3.62
In (0.7500, 0.8802, 0.9174)  2 In 3.43, 10 Pb 3.44-3.62
In (0.2500, 0.1198, 0.0826)  2 In 3.43, 10 Pb 3.44-3.62
In (0.7500, 0.3802, 0.5826)  2 In 3.43, 10 Pb 3.44-3.62
Pb (0.2500, 0.1257, 0.7473)  7 Pb 3.47-3.53, 5 In 3.48-3.57
Pb (0.7500, 0.3743, 0.2473)  7 Pb 3.47-3.53, 5 In 3.48-3.57
Pb (0.2500, 0.6257, 0.7527)  7 Pb 3.47-3.53, 5 In 3.48-3.57
Pb (0.7500, 0.8743, 0.2527)  7 Pb 3.47-3.53, 5 In 3.48-3.57
Pb (0.2500, 0.1325, 0.4181)  5 In 3.44-3.62, 7 Pb 3.47-3.51
Pb (0.7500, 0.3675, 0.9181)  5 In 3.44-3.62, 7 Pb 3.47-3.51
Pb (0.2500, 0.6325, 0.0819)  5 In 3.44-3.62, 7 Pb 3.47-3.51
Pb (0.7500, 0.8675, 0.5819)  5 In 3.44-3.62, 7 Pb 3.47-3.51


Material: Sr3HCl
Method: DFT, GGA-PBE
State: relaxed

Properties
total DFT energy (no corrections)	-0.0876	Ha/atom
space-group type	No. 221

Lattice parameters (Å, degrees): 5.5954 5.5954 5.5954 90.00 90.00 90.00
With the nearest neighbours (Å) after each atom.
Element x y z (fractional)
Sr (0.0000, 0.5000, 0.0000)  2 H 2.80
Sr (0.0000, 0.0000, 0.5000)  2 H 2.80
Sr (0.5000, 0.0000, 0.0000)  2 H 2.80
H (0.0000, 0.0000, 0.0000)  6 Sr 2.80
Cl (0.5000, 0.5000, 0.5000)  12 Sr 3.96


Material: CaBePd6
Method: DFT, GGA-PBE
State: relaxed

Properties
formation energy	-268	meV/atom
space-group type	No. 123

Lattice parameters (Å, degrees): 3.9229 3.9229 8.9968 90.00 90.00 90.00
With the nearest neighbours (Å) after each atom.
Element x y z (fractional)
Ca (0.0000, 0.0000, 0.0000)  8 Pd 3.06
Be (0.0000, 0.0000, 0.5000)  8 Pd 2.38
Pd (0.5000, 0.0000, 0.6499)  2 Be 2.38
Pd (0.0000, 0.5000, 0.6499)  2 Be 2.38
Pd (0.5000, 0.5000, 0.1430)  5 Pd 2.57-2.71
Pd (0.5000, 0.5000, 0.8570)  5 Pd 2.57-2.71
Pd (0.0000, 0.5000, 0.3501)  2 Be 2.38
Pd (0.5000, 0.0000, 0.3501)  2 Be 2.38


Material: Cs2NaInBr6
Method: DFT, GGA-PBE
State: relaxed

Properties
space-group type	No. 225
E_form (uncorrected)	-1.389	eV/atom

Lattice parameters (Å, degrees): 8.0253 8.0253 8.0253 60.00 60.00 60.00
With the nearest neighbours (Å) after each atom.
Element x y z (fractional)
Cs (0.2500, 0.2500, 0.2500)  12 Br 4.01
Cs (0.7500, 0.7500, 0.7500)  12 Br 4.01
Na (0.0000, 0.0000, 0.0000)  6 Br 2.96
Br (0.2606, 0.7394, 0.7394)  1 In 2.72, 1 Na 2.96
Br (0.7394, 0.2606, 0.7394)  1 In 2.72, 1 Na 2.96
Br (0.2606, 0.7394, 0.2606)  1 In 2.72, 1 Na 2.96
Br (0.2606, 0.2606, 0.7394)  1 In 2.72, 1 Na 2.96
Br (0.7394, 0.7394, 0.2606)  1 In 2.72, 1 Na 2.96
Br (0.7394, 0.2606, 0.2606)  1 In 2.72, 1 Na 2.96
In (0.5000, 0.5000, 0.5000)  6 Br 2.72


Material: LaH3Ir
Method: DFT, GGA-PBE
State: relaxed

Properties
total DFT energy (no corrections)	-0.1772	Ha/atom
space-group type	No. 119

Lattice parameters (Å, degrees): 3.9572 3.9572 8.2778 76.17 76.17 90.00
With the nearest neighbours (Å) after each atom.
Element x y z (fractional)
H (0.2943, 0.8961, 0.2078)  1 H 0.81
H (0.1039, 0.7057, 0.7922)  1 H 0.81
H (0.1039, 0.5021, 0.7922)  1 H 0.81
H (0.4979, 0.8961, 0.2078)  1 H 0.81
H (0.3520, 0.3520, 0.2959)  2 Ir 1.98, 4 H 2.13
H (0.6480, 0.6480, 0.7041)  2 Ir 1.98, 4 H 2.13
Ir (0.6474, 0.1474, 0.7051)  2 H 1.98
Ir (0.8526, 0.3526, 0.2949)  2 H 1.98
La (0.0000, 0.0000, 0.0000)  4 H 2.26
La (0.2500, 0.7500, 0.5000)  8 H 2.31-2.54


Material: CaAc4La2
Method: DFT, GGA-PBE
State: relaxed

Properties
formation energy	121	meV/atom
space-group type	No. 11

Lattice parameters (Å, degrees): 6.3579 7.5177 12.8435 90.00 103.82 90.00
With the nearest neighbours (Å) after each atom.
Element x y z (fractional)
Ca (0.0860, 0.7500, 0.1495)  6 Ac 3.64-3.98, 2 La 3.71-3.74
Ca (0.9140, 0.2500, 0.8505)  6 Ac 3.64-3.98, 2 La 3.71-3.74
Ac (0.6345, 0.4985, 0.2847)  6 Ac 3.74-4.17, 4 La 3.90-4.09, 2 Ca 3.98-4.15
Ac (0.9535, 0.7500, 0.8521)  3 La 3.59-3.68, 3 Ca 3.71-3.77, 2 Ac 3.95
Ac (0.0465, 0.2500, 0.1479)  3 La 3.59-3.68, 3 Ca 3.71-3.77, 2 Ac 3.95
Ac (0.6345, 0.0015, 0.2847)  6 Ac 3.74-4.17, 4 La 3.90-4.09, 2 Ca 3.98-4.15
Ac (0.8179, 0.2500, 0.5594)  4 La 3.51-3.79, 1 Ca 3.64, 2 Ac 3.92
Ac (0.3655, 0.9985, 0.7153)  6 Ac 3.74-4.17, 4 La 3.90-4.09, 2 Ca 3.98-4.15
Ac (0.3655, 0.5015, 0.7153)  6 Ac 3.74-4.17, 4 La 3.90-4.09, 2 Ca 3.98-4.15
Ac (0.1821, 0.7500, 0.4406)  4 La 3.51-3.79, 1 Ca 3.64, 2 Ac 3.92
La (0.5138, 0.7500, 0.9939)  4 Ac 3.59-3.95, 2 Ca 3.71-3.74, 2 La 3.77
La (0.4862, 0.2500, 0.0061)  4 Ac 3.59-3.95, 2 Ca 3.71-3.74, 2 La 3.77
La (0.2608, 0.2500, 0.4380)  7 Ac 3.51-3.90
La (0.7392, 0.7500, 0.5620)  7 Ac 3.51-3.90


Material: LaGe2RhS
Method: DFT, GGA-PBE
State: relaxed

Properties
space-group type	No. 8
E_form (uncorrected)	-0.757	eV/atom

Lattice parameters (Å, degrees): 4.3396 3.7025 14.5775 90.00 105.64 90.00
With the nearest neighbours (Å) after each atom.
Element x y z (fractional)
Ge (0.1945, 0.0000, 0.5228)  2 Ge 2.46-2.61, 2 Rh 2.49
Ge (0.1945, 0.5000, 0.0228)  2 Ge 2.46-2.61, 2 Rh 2.49
Ge (0.7983, 0.0000, 0.6160)  2 Ge 2.46-2.61, 2 Rh 2.61
Ge (0.7983, 0.5000, 0.1160)  2 Ge 2.46-2.61, 2 Rh 2.61
Rh (0.5395, 0.0000, 0.9937)  1 S 2.41, 4 Ge 2.49-2.61
Rh (0.5395, 0.5000, 0.4937)  1 S 2.41, 4 Ge 2.49-2.61
S (0.4712, 0.0000, 0.8239)  1 Rh 2.41
S (0.4712, 0.5000, 0.3239)  1 Rh 2.41
La (0.9498, 0.0000, 0.2985)  4 S 2.87-2.88, 3 Ge 3.15-3.16
La (0.9498, 0.5000, 0.7985)  4 S 2.87-2.88, 3 Ge 3.15-3.16


Material: ScTa4Tl
Method: DFT, GGA-PBE
State: relaxed

Properties
formation energy	332	meV/atom
space-group type	No. 216

Lattice parameters (Å, degrees): 5.5939 5.5939 5.5939 60.00 60.00 60.00
With the nearest neighbours (Å) after each atom.
Element x y z (fractional)
Sc (0.0000, 0.0000, 0.0000)  12 Ta 3.27, 4 Tl 3.43
Ta (0.8819, 0.3727, 0.3727)  6 Ta 2.75-2.85
Ta (0.3727, 0.3727, 0.8819)  6 Ta 2.75-2.85
Ta (0.3727, 0.8819, 0.3727)  6 Ta 2.75-2.85
Ta (0.3727, 0.3727, 0.3727)  6 Ta 2.75-2.85
Tl (0.7500, 0.7500, 0.7500)  12 Ta 3.29, 4 Sc 3.43


Material: Cs2YCuI6
Method: DFT, GGA-PBE
State: relaxed

Properties
space-group type	No. 225
E_form (uncorrected)	-1.163	eV/atom

Lattice parameters (Å, degrees): 8.4173 8.4173 8.4173 60.00 60.00 60.00
With the nearest neighbours (Å) after each atom.
Element x y z (fractional)
Cs (0.7500, 0.7500, 0.7500)  12 I 4.21
Cs (0.2500, 0.2500, 0.2500)  12 I 4.21
Y (0.5000, 0.5000, 0.5000)  6 I 3.04
Cu (0.0000, 0.0000, 0.0000)  6 I 2.91
I (0.7556, 0.2444, 0.2444)  1 Cu 2.91, 1 Y 3.04
I (0.2444, 0.2444, 0.7556)  1 Cu 2.91, 1 Y 3.04
I (0.2444, 0.7556, 0.7556)  1 Cu 2.91, 1 Y 3.04
I (0.2444, 0.7556, 0.2444)  1 Cu 2.91, 1 Y 3.04
I (0.7556, 0.2444, 0.7556)  1 Cu 2.91, 1 Y 3.04
I (0.7556, 0.7556, 0.2444)  1 Cu 2.91, 1 Y 3.04